Ca2ScIn: relaxed, GGA-PBEsol.

Unit cell a=4.7650 b=4.7650 c=9.6675 alpha=90.00 beta=90.00 gamma=90.00
Closest atoms and distances in Å follow each position.
Space group I4/mmm (No. 139)
Symmetry-distinct sites (fractional):
Ca 0.0000 0.5000 0.2500 x4  4 Ca 3.37, 4 In 3.39, 4 Sc 3.39
Sc 0.0000 0.0000 0.0000 x2  4 In 3.37, 8 Ca 3.39
In 0.0000 0.0000 0.5000 x2  4 Sc 3.37, 8 Ca 3.39

The calculation puts the energy of formation at -11.3 kJ/mol of atoms. Its total magnetization is 0.00 μB per atom. The crystal system is tetragonal. Its density of states at the Fermi level is 0.807 states/eV per atom.